# 1
VASP calculation (PBE) on a relaxed structure of Cu2Rh2F.

a = 7.2976 Å, b = 7.2976 Å, c = 2.6773 Å
α = 90.00°, β = 90.00°, γ = 90.00°
Sites, in units of the cell vectors:
Cu (0.1707, 0.3293, 0.0000)
Cu (0.3293, 0.8293, 0.0000)
Cu (0.6707, 0.1707, 0.0000)
Cu (0.8293, 0.6707, 0.0000)
Rh (0.1265, 0.6265, 0.5000)
Rh (0.3735, 0.1265, 0.5000)
Rh (0.6265, 0.8735, 0.5000)
Rh (0.8735, 0.3735, 0.5000)
F (0.0000, 0.0000, 0.0000)
F (0.5000, 0.5000, 0.0000)

crystal system: tetragonal
E above lowest polymorph: 0.000 eV/atom
uncorrected formation energy: 112 kJ/mol of formula units
E: -4.720 eV per atom

---

# 2
VASP calculation (PBE) on a relaxed structure of CuRh2F11.

a = 8.3377 Å, b = 8.3377 Å, c = 8.3377 Å
α = 122.34°, β = 103.53°, γ = 103.37°
Sites, in units of the cell vectors:
Cu (0.2500, 0.2500, 0.0000)
Cu (0.7500, 0.7500, 0.0000)
Rh (0.0903, 0.7213, 0.8116)
Rh (0.4097, 0.2213, 0.6310)
Rh (0.5903, 0.7787, 0.3690)
Rh (0.9097, 0.2787, 0.1884)
F (0.0000, 0.5000, 0.5000)
F (0.0566, 0.5057, 0.8340)
F (0.1007, 0.9484, 0.7909)
F (0.1575, 0.3099, 0.2091)
F (0.1717, 0.0057, 0.4491)
F (0.1790, 0.9240, 0.1031)
F (0.3210, 0.4240, 0.7450)
F (0.3283, 0.7774, 0.8340)
F (0.3425, 0.5516, 0.1524)
F (0.3993, 0.1901, 0.8476)
F (0.4434, 0.2774, 0.4491)
F (0.5000, 0.0000, 0.5000)
F (0.5566, 0.7226, 0.5509)
F (0.6007, 0.8099, 0.1524)
F (0.6575, 0.4484, 0.8476)
F (0.6717, 0.2226, 0.1660)
F (0.6790, 0.5760, 0.2550)
F (0.8210, 0.0760, 0.8969)
F (0.8283, 0.9943, 0.5509)
F (0.8425, 0.6901, 0.7909)
F (0.8993, 0.0516, 0.2091)
F (0.9434, 0.4943, 0.1660)

crystal system: orthorhombic
uncorrected formation energy: -1862 kJ/mol of formula units
E: -4.191 eV per atom

---

# 3
VASP calculation (PBE) on a relaxed structure of Cu2RhF.

a = 5.8962 Å, b = 5.8962 Å, c = 5.8962 Å
α = 90.00°, β = 90.00°, γ = 90.00°
Sites, in units of the cell vectors:
Cu (0.2500, 0.2500, 0.2500)
Cu (0.2500, 0.2500, 0.7500)
Cu (0.2500, 0.7500, 0.2500)
Cu (0.2500, 0.7500, 0.7500)
Cu (0.7500, 0.2500, 0.2500)
Cu (0.7500, 0.2500, 0.7500)
Cu (0.7500, 0.7500, 0.2500)
Cu (0.7500, 0.7500, 0.7500)
Rh (0.0000, 0.0000, 0.0000)
Rh (0.0000, 0.5000, 0.5000)
Rh (0.5000, 0.0000, 0.5000)
Rh (0.5000, 0.5000, 0.0000)
F (0.0000, 0.0000, 0.5000)
F (0.0000, 0.5000, 0.0000)
F (0.5000, 0.0000, 0.0000)
F (0.5000, 0.5000, 0.5000)

crystal system: cubic
E above lowest polymorph: 0.108 eV/atom
uncorrected formation energy: 52 kJ/mol of formula units
E: -4.219 eV per atom

---

# 4
VASP calculation (PBE) on a relaxed structure of SrCuRh2F.

a = 4.5307 Å, b = 4.5307 Å, c = 5.0964 Å
α = 90.00°, β = 90.00°, γ = 90.00°
Sites, in units of the cell vectors:
Sr (0.0000, 0.0000, 0.0000)
Cu (0.5000, 0.5000, 0.5000)
Rh (0.0000, 0.5000, 0.5000)
Rh (0.5000, 0.0000, 0.5000)
F (0.5000, 0.5000, 0.0000)

crystal system: tetragonal
uncorrected formation energy: 17 kJ/mol of formula units
E: -4.435 eV per atom

---

# 5
VASP calculation (PBE) on a relaxed structure of SrCu2RhF8.

a = 6.7109 Å, b = 6.7109 Å, c = 6.7109 Å
α = 131.74°, β = 131.74°, γ = 70.64°
Sites, in units of the cell vectors:
Sr (0.0000, 0.0000, 0.0000)
Cu (0.5000, 0.5000, 0.0000)
Cu (0.7500, 0.2500, 0.5000)
Rh (0.2500, 0.7500, 0.5000)
F (0.2811, 0.7085, 0.1527)
F (0.2915, 0.4441, 0.5726)
F (0.4052, 0.0052, 0.0459)
F (0.5559, 0.1284, 0.8473)
F (0.6407, 0.5948, 0.6000)
F (0.8716, 0.7189, 0.4274)
F (0.9593, 0.3593, 0.9541)
F (0.9948, 0.0407, 0.4000)

crystal system: tetragonal
uncorrected formation energy: -2225 kJ/mol of formula units
E: -4.604 eV per atom

---

# 6
VASP calculation (PBE) on a relaxed structure of TiCu2RhF.

a = 4.1152 Å, b = 4.1152 Å, c = 3.9696 Å
α = 90.00°, β = 90.00°, γ = 90.00°
Sites, in units of the cell vectors:
Ti (0.0000, 0.0000, 0.0000)
Cu (0.0000, 0.5000, 0.5000)
Cu (0.5000, 0.0000, 0.5000)
Rh (0.5000, 0.5000, 0.0000)
F (0.0000, 0.0000, 0.5000)

crystal system: tetragonal
uncorrected formation energy: -112 kJ/mol of formula units
E: -5.295 eV per atom

---

# 7
VASP calculation (PBE) on a relaxed structure of Tl3Cu2RhF9.

a = 5.9617 Å, b = 5.9617 Å, c = 7.2964 Å
α = 90.00°, β = 90.00°, γ = 120.00°
Sites, in units of the cell vectors:
Tl (0.0000, 0.0000, 0.0000)
Tl (0.3333, 0.6667, 0.6758)
Tl (0.6667, 0.3333, 0.3242)
Cu (0.3333, 0.6667, 0.1584)
Cu (0.6667, 0.3333, 0.8416)
Rh (0.0000, 0.0000, 0.5000)
F (0.0000, 0.5000, 0.0000)
F (0.1638, 0.3276, 0.3369)
F (0.1638, 0.8362, 0.3369)
F (0.3276, 0.1638, 0.6631)
F (0.5000, 0.0000, 0.0000)
F (0.5000, 0.5000, 0.0000)
F (0.6724, 0.8362, 0.3369)
F (0.8362, 0.1638, 0.6631)
F (0.8362, 0.6724, 0.6631)

crystal system: trigonal
uncorrected formation energy: -2335 kJ/mol of formula units
E: -4.246 eV per atom

---

# 8
VASP calculation (PBE) on a relaxed structure of Tl2Cu3RhF12.

a = 7.6239 Å, b = 7.6239 Å, c = 7.6239 Å
α = 55.99°, β = 55.99°, γ = 55.99°
Sites, in units of the cell vectors:
Tl (0.1089, 0.1089, 0.1089)
Tl (0.8911, 0.8911, 0.8911)
Cu (0.0000, 0.5000, 0.5000)
Cu (0.5000, 0.0000, 0.5000)
Cu (0.5000, 0.5000, 0.0000)
Rh (0.5000, 0.5000, 0.5000)
F (0.1770, 0.5784, 0.5784)
F (0.1779, 0.1779, 0.5792)
F (0.1779, 0.5792, 0.1779)
F (0.4208, 0.8221, 0.8221)
F (0.4216, 0.4216, 0.8230)
F (0.4216, 0.8230, 0.4216)
F (0.5784, 0.1770, 0.5784)
F (0.5784, 0.5784, 0.1770)
F (0.5792, 0.1779, 0.1779)
F (0.8221, 0.4208, 0.8221)
F (0.8221, 0.8221, 0.4208)
F (0.8230, 0.4216, 0.4216)

crystal system: trigonal
uncorrected formation energy: -2817 kJ/mol of formula units
E: -4.224 eV per atom

---

# 9
VASP calculation (PBE) on a relaxed structure of ZnCuRhF6.

a = 4.8319 Å, b = 4.8319 Å, c = 9.7247 Å
α = 90.00°, β = 90.00°, γ = 90.00°
Sites, in units of the cell vectors:
Zn (0.0000, 0.0000, 0.0000)
Zn (0.5000, 0.5000, 0.5000)
Cu (0.0000, 0.0000, 0.3297)
Cu (0.5000, 0.5000, 0.8297)
Rh (0.0000, 0.0000, 0.6655)
Rh (0.5000, 0.5000, 0.1655)
F (0.1914, 0.1914, 0.8288)
F (0.1976, 0.1976, 0.5041)
F (0.1986, 0.1986, 0.1630)
F (0.3014, 0.6986, 0.6630)
F (0.3024, 0.6976, 0.0041)
F (0.3086, 0.6914, 0.3288)
F (0.6914, 0.3086, 0.3288)
F (0.6976, 0.3024, 0.0041)
F (0.6986, 0.3014, 0.6630)
F (0.8014, 0.8014, 0.1630)
F (0.8024, 0.8024, 0.5041)
F (0.8086, 0.8086, 0.8288)

crystal system: tetragonal
uncorrected formation energy: -1449 kJ/mol of formula units
E: -4.329 eV per atom

---

# 10
VASP calculation (PBE) on a relaxed structure of CuRuF2.

a = 5.7988 Å, b = 5.7988 Å, c = 5.7988 Å
α = 90.00°, β = 90.00°, γ = 90.00°
Sites, in units of the cell vectors:
Cu (0.0000, 0.0000, 0.0000)
Cu (0.0000, 0.5000, 0.5000)
Cu (0.5000, 0.0000, 0.5000)
Cu (0.5000, 0.5000, 0.0000)
Ru (0.0000, 0.0000, 0.5000)
Ru (0.0000, 0.5000, 0.0000)
Ru (0.5000, 0.0000, 0.0000)
Ru (0.5000, 0.5000, 0.5000)
F (0.2500, 0.2500, 0.2500)
F (0.2500, 0.2500, 0.7500)
F (0.2500, 0.7500, 0.2500)
F (0.2500, 0.7500, 0.7500)
F (0.7500, 0.2500, 0.2500)
F (0.7500, 0.2500, 0.7500)
F (0.7500, 0.7500, 0.2500)
F (0.7500, 0.7500, 0.7500)

crystal system: cubic
E above lowest polymorph: 0.528 eV/atom
uncorrected formation energy: -73 kJ/mol of formula units
E: -4.468 eV per atom

---

# 11
VASP calculation (PBE) on a relaxed structure of Cu2RuF6.

a = 5.4555 Å, b = 5.4555 Å, c = 7.0737 Å
α = 109.68°, β = 109.68°, γ = 39.22°
Sites, in units of the cell vectors:
Cu (0.1817, 0.1817, 0.1324)
Cu (0.8183, 0.8183, 0.8676)
Ru (0.0000, 0.0000, 0.5000)
F (0.0214, 0.0214, 0.2364)
F (0.3075, 0.3075, 0.9218)
F (0.3754, 0.3754, 0.4167)
F (0.6246, 0.6246, 0.5833)
F (0.6925, 0.6925, 0.0782)
F (0.9786, 0.9786, 0.7636)

crystal system: monoclinic
uncorrected formation energy: -1180 kJ/mol of formula units
E: -4.548 eV per atom

---

# 12
VASP calculation (PBE) on a relaxed structure of CuRuF2.

a = 2.7056 Å, b = 2.7056 Å, c = 21.8709 Å
α = 90.00°, β = 90.00°, γ = 120.00°
Sites, in units of the cell vectors:
Cu (0.0000, 0.0000, 0.0000)
Cu (0.3333, 0.6667, 0.6667)
Cu (0.6667, 0.3333, 0.3333)
Ru (0.0000, 0.0000, 0.5000)
Ru (0.3333, 0.6667, 0.1667)
Ru (0.6667, 0.3333, 0.8333)
F (0.0000, 0.0000, 0.4064)
F (0.0000, 0.0000, 0.5936)
F (0.3333, 0.6667, 0.0730)
F (0.3333, 0.6667, 0.2603)
F (0.6667, 0.3333, 0.7397)
F (0.6667, 0.3333, 0.9270)

crystal system: trigonal
E above lowest polymorph: 0.000 eV/atom
uncorrected formation energy: -277 kJ/mol of formula units
E: -4.996 eV per atom

---

# 13
VASP calculation (PBE) on a relaxed structure of CuRu2F.

a = 5.9219 Å, b = 5.9219 Å, c = 5.9219 Å
α = 90.00°, β = 90.00°, γ = 90.00°
Sites, in units of the cell vectors:
Cu (0.0000, 0.0000, 0.0000)
Cu (0.0000, 0.5000, 0.5000)
Cu (0.5000, 0.0000, 0.5000)
Cu (0.5000, 0.5000, 0.0000)
Ru (0.2500, 0.2500, 0.2500)
Ru (0.2500, 0.2500, 0.7500)
Ru (0.2500, 0.7500, 0.2500)
Ru (0.2500, 0.7500, 0.7500)
Ru (0.7500, 0.2500, 0.2500)
Ru (0.7500, 0.2500, 0.7500)
Ru (0.7500, 0.7500, 0.2500)
Ru (0.7500, 0.7500, 0.7500)
F (0.0000, 0.0000, 0.5000)
F (0.0000, 0.5000, 0.0000)
F (0.5000, 0.0000, 0.0000)
F (0.5000, 0.5000, 0.5000)

crystal system: cubic
uncorrected formation energy: 214 kJ/mol of formula units
E: -5.576 eV per atom

---

# 14
VASP calculation (PBE) on a relaxed structure of Cu3RuF8.

a = 5.5364 Å, b = 5.5364 Å, c = 6.4102 Å
α = 90.00°, β = 90.00°, γ = 121.09°
Sites, in units of the cell vectors:
Cu (0.0000, 0.0000, 0.0000)
Cu (0.0000, 0.5000, 0.7660)
Cu (0.5000, 0.0000, 0.2340)
Ru (0.0000, 0.0000, 0.5000)
F (0.2022, 0.7978, 0.0000)
F (0.2074, 0.7926, 0.5000)
F (0.2289, 0.2586, 0.7287)
F (0.2586, 0.2289, 0.2713)
F (0.7414, 0.7711, 0.2713)
F (0.7711, 0.7414, 0.7287)
F (0.7926, 0.2074, 0.5000)
F (0.7978, 0.2022, 0.0000)

crystal system: orthorhombic
uncorrected formation energy: -1641 kJ/mol of formula units
E: -4.462 eV per atom

---

# 15
VASP calculation (PBE) on a relaxed structure of CuRuF2.

a = 6.8479 Å, b = 6.8479 Å, c = 4.8490 Å
α = 90.00°, β = 90.00°, γ = 90.00°
Sites, in units of the cell vectors:
Cu (0.0000, 0.0000, 0.0000)
Cu (0.0000, 0.5000, 0.2500)
Cu (0.5000, 0.0000, 0.7500)
Cu (0.5000, 0.5000, 0.5000)
Ru (0.0000, 0.0000, 0.5000)
Ru (0.0000, 0.5000, 0.7500)
Ru (0.5000, 0.0000, 0.2500)
Ru (0.5000, 0.5000, 0.0000)
F (0.1525, 0.7500, 0.6250)
F (0.2500, 0.1525, 0.3750)
F (0.2500, 0.3475, 0.8750)
F (0.3475, 0.7500, 0.1250)
F (0.6525, 0.2500, 0.1250)
F (0.7500, 0.6525, 0.8750)
F (0.7500, 0.8475, 0.3750)
F (0.8475, 0.2500, 0.6250)

crystal system: tetragonal
E above lowest polymorph: 0.560 eV/atom
uncorrected formation energy: -61 kJ/mol of formula units
E: -4.436 eV per atom

---

# 16
VASP calculation (PBE) on a relaxed structure of CuRu2F.

a = 6.7893 Å, b = 6.7893 Å, c = 4.6878 Å
α = 90.00°, β = 90.00°, γ = 90.00°
Sites, in units of the cell vectors:
Cu (0.0000, 0.0000, 0.0000)
Cu (0.0000, 0.5000, 0.2500)
Cu (0.5000, 0.0000, 0.7500)
Cu (0.5000, 0.5000, 0.5000)
Ru (0.1977, 0.2500, 0.6250)
Ru (0.2500, 0.6977, 0.8750)
Ru (0.2500, 0.8023, 0.3750)
Ru (0.3023, 0.2500, 0.1250)
Ru (0.6977, 0.7500, 0.1250)
Ru (0.7500, 0.1977, 0.3750)
Ru (0.7500, 0.3023, 0.8750)
Ru (0.8023, 0.7500, 0.6250)
F (0.0000, 0.0000, 0.5000)
F (0.0000, 0.5000, 0.7500)
F (0.5000, 0.0000, 0.2500)
F (0.5000, 0.5000, 0.0000)

crystal system: tetragonal
uncorrected formation energy: 213 kJ/mol of formula units
E: -5.577 eV per atom

---

# 17
VASP calculation (PBE) on a relaxed structure of CuRuF3.

a = 4.1384 Å, b = 4.1384 Å, c = 4.1384 Å
α = 90.00°, β = 90.00°, γ = 90.00°
Sites, in units of the cell vectors:
Cu (0.0000, 0.0000, 0.0000)
Ru (0.5000, 0.5000, 0.5000)
F (0.0000, 0.5000, 0.5000)
F (0.5000, 0.0000, 0.5000)
F (0.5000, 0.5000, 0.0000)

crystal system: cubic
E above lowest polymorph: 0.000 eV/atom
uncorrected formation energy: -308 kJ/mol of formula units
E: -4.436 eV per atom

---

# 18
VASP calculation (PBE) on a relaxed structure of CuRuF3.

a = 4.0456 Å, b = 4.0456 Å, c = 4.0456 Å
α = 90.00°, β = 90.00°, γ = 90.00°
Sites, in units of the cell vectors:
Cu (0.0000, 0.0000, 0.0000)
Ru (0.5000, 0.5000, 0.5000)
F (0.0000, 0.0000, 0.5000)
F (0.0000, 0.5000, 0.0000)
F (0.5000, 0.0000, 0.0000)

crystal system: cubic
E above lowest polymorph: 0.054 eV/atom
uncorrected formation energy: -282 kJ/mol of formula units
E: -4.382 eV per atom

---

# 19
VASP calculation (PBE) on a relaxed structure of CuRuF5.

a = 6.8880 Å, b = 7.5518 Å, c = 4.0397 Å
α = 90.00°, β = 90.00°, γ = 90.00°
Sites, in units of the cell vectors:
Cu (0.0000, 0.0000, 0.0000)
Cu (0.5000, 0.5000, 0.5000)
Ru (0.0000, 0.5000, 0.8443)
Ru (0.5000, 0.0000, 0.3443)
F (0.0000, 0.2398, 0.8299)
F (0.0000, 0.5000, 0.3442)
F (0.0000, 0.7602, 0.8299)
F (0.2150, 0.0000, 0.3517)
F (0.2850, 0.5000, 0.8517)
F (0.5000, 0.0000, 0.8442)
F (0.5000, 0.2602, 0.3299)
F (0.5000, 0.7398, 0.3299)
F (0.7150, 0.5000, 0.8517)
F (0.7850, 0.0000, 0.3517)

crystal system: orthorhombic
uncorrected formation energy: -1037 kJ/mol of formula units
E: -4.782 eV per atom

---

# 20
VASP calculation (PBE) on a relaxed structure of CuRu2SF.

a = 4.8050 Å, b = 4.8050 Å, c = 4.0945 Å
α = 90.00°, β = 90.00°, γ = 90.00°
Sites, in units of the cell vectors:
Cu (0.0000, 0.0000, 0.0000)
Ru (0.0000, 0.5000, 0.0000)
Ru (0.5000, 0.0000, 0.0000)
S (0.0000, 0.0000, 0.5000)
F (0.5000, 0.5000, 0.5000)

crystal system: tetragonal
uncorrected formation energy: 558 kJ/mol of formula units
E: -4.574 eV per atom

---

# 21
VASP calculation (PBE) on a relaxed structure of TlCuRuF6.

a = 5.5832 Å, b = 5.5832 Å, c = 5.8914 Å
α = 90.00°, β = 90.00°, γ = 120.00°
Sites, in units of the cell vectors:
Tl (0.0000, 0.0000, 0.0000)
Cu (0.3333, 0.6667, 0.5000)
Ru (0.6667, 0.3333, 0.5000)
F (0.3787, 0.0206, 0.6814)
F (0.3787, 0.3581, 0.3186)
F (0.6419, 0.0206, 0.3186)
F (0.6419, 0.6213, 0.6814)
F (0.9794, 0.3581, 0.6814)
F (0.9794, 0.6213, 0.3186)

crystal system: trigonal
uncorrected formation energy: -1430 kJ/mol of formula units
E: -4.643 eV per atom

---

# 22
VASP calculation (PBE) on a relaxed structure of Tl2CuRuF.

a = 5.3723 Å, b = 5.3723 Å, c = 3.9774 Å
α = 90.00°, β = 90.00°, γ = 90.00°
Sites, in units of the cell vectors:
Tl (0.0000, 0.5000, 0.0000)
Tl (0.5000, 0.0000, 0.0000)
Cu (0.0000, 0.0000, 0.5000)
Ru (0.5000, 0.5000, 0.0000)
F (0.5000, 0.5000, 0.5000)

crystal system: tetragonal
uncorrected formation energy: 89 kJ/mol of formula units
E: -3.811 eV per atom